Computed, not measured: an optimized crystal structure of Ni3H6SO3 at the PBE+U level of DFT.

Results
* magnetization: 6.000 μB per formula unit
* space-group type: P1 (1)
* DOS(E_F): 0.00 states/eV/atom
* DFT total energy: -4.01 eV/atom
* theoretical density: 2.7 g cm⁻³

Cell: 5.820 5.844 6.260 Å, 116.38 92.13 118.40°
Positions (direct):
Ni  0.000  0.000  0.000
Ni  0.056  0.662  0.296
Ni  0.574  0.124  0.300
H  0.134  0.343  0.615
H  0.135  0.463  0.733
H  0.450  0.444  0.936
H  0.506  0.045  0.678
H  0.510  0.431  0.036
H  0.616  0.762  0.520
S  0.782  0.661  0.573
O  0.183  0.880  0.127
O  0.460  0.910  0.498
O  0.842  0.221  0.133